# 1
VASP calculation (PBE-GGA) on BiPd2PbO after structural relaxation.

POSCAR file:
```
BiPd2PbO
1.0
5.2030 0.0000 0.0000
0.0000 5.2030 0.0000
0.0000 0.0000 4.3479
Bi Pd Pb O
1 2 1 1
direct
0.0000 0.0000 0.0000
0.0000 0.5000 0.0000
0.5000 0.0000 0.0000
0.5000 0.5000 0.5000
0.0000 0.0000 0.5000
```

Properties
- Space-group type: P4/mmm, No. 123
- Formation energy without anion corrections: 135 meV per atom
- Density of states at the Fermi level: 0.91 states/eV/atom

=====

# 2
VASP calculation (PBE-GGA) on Ac6Ir2RuI3 after structural relaxation.

POSCAR file:
```
Ac6Ir2RuI3
1.0
3.7882 -6.5612 0.0000
3.7882 6.5612 0.0000
-2.5231 0.0000 8.6407
Ac Ir Ru I
6 2 1 3
direct
0.0612 0.3910 0.1839
0.2685 0.2685 0.8161
0.3910 0.0612 0.1839
0.6090 0.9388 0.8161
0.7315 0.7315 0.1839
0.9388 0.6090 0.8161
0.3332 0.6668 0.0000
0.6668 0.3332 0.0000
0.0000 0.0000 0.0000
0.1658 0.8342 0.5000
0.5000 0.5000 0.5000
0.8342 0.1658 0.5000
```

Properties
- Space-group type: C2/m, No. 12
- Formation energy without anion corrections: -949 meV per atom
- Density of states at the Fermi level: 0.34 states/eV/atom

=====

# 3
VASP calculation (PBE-GGA) on Dy4In2Pb after structural relaxation.

POSCAR file:
```
Dy4In2Pb
1.0
2.6355 1.5216 8.6491
-2.6355 1.5216 8.6491
0.0000 -3.0432 8.6491
Dy In Pb
4 2 1
direct
0.1191 0.1191 0.1191
0.3723 0.3723 0.3723
0.6277 0.6277 0.6277
0.8809 0.8809 0.8809
0.2541 0.2541 0.2541
0.7459 0.7459 0.7459
0.5000 0.5000 0.5000
```

Properties
- Raw total energy: -4.23 eV/atom
- Space-group type: R-3m, No. 166
- Density of states at the Fermi level: 0.86 states/eV/atom